! Na2CaCl (PBE, relaxed); values from VASP
! Space group: R-3m (166)
! Energy, eV per cell: -9.389
! Raw formation energy, eV per formula unit: -2.9
! ΔE to the lowest computed polymorph, meV/atom: 0
! Magnetization, μB per cell: 0.0
&SYSTEM
  ibrav = 0, nat = 4, ntyp = 3
/
ATOMIC_SPECIES
Na 22.99 Na.upf
Ca 40.08 Ca.upf
Cl 35.45 Cl.upf
CELL_PARAMETERS angstrom
-1.736 1.933 -2.869
-3.661 1.188 0.405
1.621 10.185 3.270
ATOMIC_POSITIONS angstrom
Na 0.467 7.098 1.889
Na -4.242 6.208 -1.082
Ca 0.000 0.000 0.000
Cl -1.888 6.653 0.404